1.
Density functional theory data (PBE) for crystalline AgSbSeS at its relaxed geometry.

The value obtained for the distance to the lowest polymorph of the same formula is 0.0 kJ/mol of formula units.

The space group is Cm (No. 8) and the conventional cell measures 7.993, 4.627 and 6.627 Å, with angles of 90.00, 113.53 and 90.00 degrees. The distinct sites, in fractional coordinates, are Ag at (0.000, 0.000, 0.000), Sb at (0.499, 0.000, 0.500), Se at (0.360, 0.000, 0.079) and S at (0.352, 0.500, 0.560).



2.
Density functional theory data (PBE) for crystalline Ag2SbSeS2 at its relaxed geometry.

Its density of states at the Fermi level is 0.487 states/eV per atom.

The space group is Cmc2_1 (No. 36) and the conventional cell measures 12.175, 7.133 and 7.422 Å, with angles of 90.00, 90.00 and 90.00 degrees. The distinct sites, in fractional coordinates, are Ag at (0.176, 0.170, 0.000), Sb at (0.000, 0.304, 0.470), Se at (0.000, 0.352, 0.858) and S at (0.165, 0.157, 0.345).



3.
Density functional theory data (PBE) for crystalline SiAg2SbS4 at its relaxed geometry.

Its density of states at the Fermi level is 0.351 states/eV per atom.

The space group is P1 (No. 1) and the conventional cell measures 5.552, 5.967 and 6.580 Å, with angles of 101.46, 110.42 and 97.15 degrees. The distinct sites, in fractional coordinates, are Si at (0.000, 0.000, 0.000), Ag at (0.479, 0.524, 0.961), Ag at (0.662, 0.081, 0.390), Sb at (0.388, 0.735, 0.597), S at (0.035, 0.704, 0.765), S at (0.321, 0.283, 0.188), S at (0.680, 0.142, 0.799) and S at (0.896, 0.827, 0.224).



4.
Density functional theory data (PBE) for crystalline SmAg2SbS4 at its relaxed geometry.

Its density of states at the Fermi level is 0.005 states/eV per atom.

The space group is P2/m (No. 10) and the conventional cell measures 6.669, 4.039 and 7.054 Å, with angles of 90.00, 112.03 and 90.00 degrees. The distinct sites, in fractional coordinates, are Sm at (0.000, 0.000, 0.000), Ag at (0.500, 0.000, 0.500), Ag at (0.500, 0.500, 0.000), Sb at (0.000, 0.500, 0.500), S at (0.244, 0.500, 0.260) and S at (0.250, 0.000, 0.752).



5.
Density functional theory data (PBE) for crystalline Sm3Ag4SbS8 at its relaxed geometry.

The space group is C2/m (No. 12) and the conventional cell measures 13.161, 8.172 and 7.712 Å, with angles of 90.00, 121.17 and 90.00 degrees. The distinct sites, in fractional coordinates, are Sm at (0.000, 0.000, 0.000), Sm at (0.250, 0.250, 0.500), Ag at (0.000, 0.000, 0.500), Ag at (0.000, 0.500, 0.500), Ag at (0.250, 0.250, 0.000), Sb at (0.000, 0.500, 0.000), S at (0.000, 0.254, 0.248), S at (0.245, 0.500, 0.244) and S at (0.248, 0.000, 0.250).



6.
Density functional theory data (PBE) for crystalline AgSnSbS2 at its relaxed geometry.

Its density of states at the Fermi level is 1.066 states/eV per atom.

The space group is P4/mmm (No. 123) and the conventional cell measures 4.838, 4.838 and 5.423 Å, with angles of 90.00, 90.00 and 90.00 degrees. The distinct sites, in fractional coordinates, are Ag at (0.000, 0.000, 0.000), Sn at (0.000, 0.000, 0.500), Sb at (0.500, 0.500, 0.500) and S at (0.000, 0.500, 0.000).



7.
Density functional theory data (PBE) for crystalline AgSnSbS4 at its relaxed geometry.

Its density of states at the Fermi level is 0.226 states/eV per atom.

The space group is Imma (No. 74) and the conventional cell measures 7.833, 7.894 and 11.083 Å, with angles of 90.00, 90.00 and 90.00 degrees. The distinct sites, in fractional coordinates, are Ag at (0.000, 0.250, 0.123), Sn at (0.250, 0.250, 0.750), Sb at (0.000, 0.000, 0.500), S at (0.000, 0.024, 0.751) and S at (0.244, 0.250, 0.518).



8.
Density functional theory data (PBE) for crystalline AgSnSbS3 at its relaxed geometry.

The space group is P2_1/m (No. 11) and the conventional cell measures 9.047, 3.824 and 9.249 Å, with angles of 90.00, 92.83 and 90.00 degrees. The distinct sites, in fractional coordinates, are Ag at (0.080, 0.250, 0.098), Sn at (0.178, 0.250, 0.738), Sb at (0.349, 0.750, 0.355), S at (0.154, 0.250, 0.365), S at (0.217, 0.750, 0.946) and S at (0.390, 0.750, 0.623).



9.
Density functional theory data (PBE) for crystalline SrAg2SbS4 at its relaxed geometry.

Its density of states at the Fermi level is 0.747 states/eV per atom.

The space group is Imma (No. 74) and the conventional cell measures 7.636, 7.732 and 12.603 Å, with angles of 90.00, 90.00 and 90.00 degrees. The distinct sites, in fractional coordinates, are Sr at (0.000, 0.000, 0.000), Ag at (0.000, 0.000, 0.500), Ag at (0.250, 0.250, 0.250), Sb at (0.250, 0.250, 0.750), S at (0.000, 0.009, 0.239) and S at (0.220, 0.250, 0.534).



10.
Density functional theory data (PBE) for crystalline SrAgSbS3 at its relaxed geometry.

The space group is P2_1/m (No. 11) and the conventional cell measures 8.305, 4.055 and 8.989 Å, with angles of 90.00, 103.58 and 90.00 degrees. The distinct sites, in fractional coordinates, are Sr at (0.196, 0.250, 0.246), Ag at (0.097, 0.250, 0.592), Sb at (0.326, 0.750, 0.849), S at (0.109, 0.250, 0.884), S at (0.246, 0.750, 0.501) and S at (0.433, 0.750, 0.147).



11.
Density functional theory data (PBE) for crystalline TbAg2SbS4 at its relaxed geometry.

Its density of states at the Fermi level is 0.007 states/eV per atom.

The space group is P2/m (No. 10) and the conventional cell measures 6.664, 3.999 and 6.985 Å, with angles of 90.00, 111.32 and 90.00 degrees. The distinct sites, in fractional coordinates, are Tb at (0.000, 0.000, 0.000), Ag at (0.500, 0.000, 0.500), Ag at (0.500, 0.500, 0.000), Sb at (0.000, 0.500, 0.500), S at (0.241, 0.500, 0.252) and S at (0.247, 0.000, 0.753).



12.
Density functional theory data (PBE) for crystalline Tb3Ag3SbS8 at its relaxed geometry.

Its density of states at the Fermi level is 0.097 states/eV per atom.

The space group is C2/m (No. 12) and the conventional cell measures 13.327, 7.989 and 7.787 Å, with angles of 90.00, 123.46 and 90.00 degrees. The distinct sites, in fractional coordinates, are Tb at (0.000, 0.000, 0.000), Tb at (0.250, 0.250, 0.500), Ag at (0.000, 0.500, 0.500), Ag at (0.250, 0.250, 0.000), Sb at (0.000, 0.500, 0.000), S at (0.001, 0.261, 0.237), S at (0.238, 0.500, 0.241) and S at (0.246, 0.000, 0.255).



no.,E_form (uncorrected) (kJ/mol of atoms)
1,-11.4
2,-6.8
3,-20.7
4,-67.1
5,-94.2
6,54.1
7,-24.2
8,-20.0
9,-51.7
10,-75.5
11,-68.3
12,-100.7